Entry 1:
Sr2Zn3BiPt4 | GGA-PBE | optimized geometry

POSCAR file:
```
Sr2Zn3BiPt4
1.0
4.405 0.000 0.000
0.000 4.405 0.000
0.000 0.000 11.047
Sr Zn Bi Pt
2 3 1 4
direct
0.000 0.500 0.230
0.500 0.000 0.770
0.000 0.500 0.877
0.500 0.000 0.123
0.500 0.500 0.500
0.000 0.000 0.500
0.000 0.000 0.000
0.000 0.500 0.648
0.500 0.000 0.352
0.500 0.500 0.000
```

Summary:
- Energy relative to the elements: -621 meV/atom
- SG: P-4m2 (115)
- Magnetization: 0.0 μB/f.u.
- VASP energy: -4.144 eV/atom

Entry 2:
SrZrBiPt2 | GGA-PBE | optimized geometry

POSCAR file:
```
SrZrBiPt2
1.0
5.144 0.000 0.000
0.000 5.144 0.000
0.000 0.000 5.799
Sr Zr Bi Pt
1 1 1 2
direct
0.000 0.000 0.000
0.500 0.500 0.000
0.000 0.000 0.500
0.000 0.500 0.500
0.500 0.000 0.500
```

Summary:
- Energy relative to the elements: 855 meV/atom
- SG: P4/mmm (123)
- Magnetization: 2.3 μB/f.u.
- VASP energy: -4.383 eV/atom

Entry 3:
Ta2Bi2Pt | GGA-PBE | optimized geometry

POSCAR file:
```
Ta2Bi2Pt
1.0
7.877 0.000 0.000
0.000 7.877 0.000
0.000 0.000 3.571
Ta Bi Pt
4 4 2
direct
0.124 0.376 0.000
0.376 0.876 0.000
0.624 0.124 0.000
0.876 0.624 0.000
0.168 0.668 0.500
0.332 0.168 0.500
0.668 0.832 0.500
0.832 0.332 0.500
0.000 0.000 0.500
0.500 0.500 0.500
```

Summary:
- Energy relative to the elements: 699 meV/atom
- SG: P4/mbm (127)
- Magnetization: 0.0 μB/f.u.
- Energy relative to the lowest polymorph listed for this composition: 24 meV/atom
- VASP energy: -6.803 eV/atom

Entry 4:
TaBi2Pt | GGA-PBE | optimized geometry

POSCAR file:
```
TaBi2Pt
1.0
0.000 3.536 3.536
3.536 0.000 3.536
3.536 3.536 0.000
Ta Bi Pt
1 2 1
direct
0.000 0.000 0.000
0.250 0.250 0.250
0.750 0.750 0.750
0.500 0.500 0.500
```

Summary:
- Energy relative to the elements: 459 meV/atom
- SG: Fm-3m (225)
- Magnetization: 0.0 μB/f.u.
- Energy relative to the lowest polymorph listed for this composition: 0 meV/atom
- VASP energy: -5.955 eV/atom

Q: Look up the energy relative to the elements of the first one.
A: -621 meV/atom